Entry P
CsZrMo3 after structural relaxation, computed with PBE.

Results
theoretical density = 6.2 g/cm³
N(E_F) = 1.408 states/eV/atom

Unit cell a=5.1582 b=5.1582 c=5.1582 alpha=90.00 beta=90.00 gamma=90.00
Last column: nearest neighbours and their distance in Å.
Element x y z (fractional)
Cs (0.0000, 0.0000, 0.0000)  12 Mo 3.65
Zr (0.5000, 0.5000, 0.5000)  6 Mo 2.58
Mo (0.0000, 0.5000, 0.5000)  2 Zr 2.58
Mo (0.5000, 0.0000, 0.5000)  2 Zr 2.58
Mo (0.5000, 0.5000, 0.0000)  2 Zr 2.58


Entry Q
CsZrMo3 after structural relaxation, computed with PBE.

Results
theoretical density = 7.3 g/cm³
N(E_F) = 1.714 states/eV/atom

Unit cell a=4.8865 b=4.8865 c=4.8865 alpha=90.00 beta=90.00 gamma=90.00
Last column: nearest neighbours and their distance in Å.
Element x y z (fractional)
Cs (0.0000, 0.0000, 0.0000)  6 Mo 2.44
Zr (0.5000, 0.5000, 0.5000)  12 Mo 3.46
Mo (0.0000, 0.0000, 0.5000)  2 Cs 2.44
Mo (0.0000, 0.5000, 0.0000)  2 Cs 2.44
Mo (0.5000, 0.0000, 0.0000)  2 Cs 2.44


Last place for stability: entry Q


Entry P
CsN2 after structural relaxation, computed with PBE.

Results
theoretical density = 3.0 g/cm³
N(E_F) = 1.325 states/eV/atom

Unit cell a=7.0798 b=7.0798 c=7.0798 alpha=90.00 beta=90.00 gamma=90.00
Last column: nearest neighbours and their distance in Å.
Element x y z (fractional)
Cs (0.0000, 0.0000, 0.0000)  6 N 3.23
Cs (0.0000, 0.5000, 0.5000)  6 N 3.23
Cs (0.5000, 0.0000, 0.5000)  6 N 3.23
Cs (0.5000, 0.5000, 0.0000)  6 N 3.23
N (0.0484, 0.5484, 0.9516)  1 N 1.19
N (0.0484, 0.9516, 0.4516)  1 N 1.19
N (0.4516, 0.0484, 0.9516)  1 N 1.19
N (0.4516, 0.4516, 0.4516)  1 N 1.19
N (0.5484, 0.5484, 0.5484)  1 N 1.19
N (0.5484, 0.9516, 0.0484)  1 N 1.19
N (0.9516, 0.0484, 0.5484)  1 N 1.19
N (0.9516, 0.4516, 0.0484)  1 N 1.19


Entry Q
CsN2 after structural relaxation, computed with PBE.

Results
theoretical density = 5.3 g/cm³
N(E_F) = 0.555 states/eV/atom

Unit cell a=3.0688 b=3.0688 c=10.8031 alpha=90.00 beta=90.00 gamma=90.00
Last column: nearest neighbours and their distance in Å.
Element x y z (fractional)
Cs (0.0000, 0.0000, 0.0000)  2 N 2.92, 4 Cs 3.07
Cs (0.5000, 0.5000, 0.5000)  2 N 2.92, 4 Cs 3.07
N (0.0000, 0.0000, 0.2707)  4 N 2.22
N (0.0000, 0.0000, 0.7293)  4 N 2.22
N (0.5000, 0.5000, 0.2293)  4 N 2.22
N (0.5000, 0.5000, 0.7707)  4 N 2.22


Last place for stability: entry Q


Entry P
CsN after structural relaxation, computed with PBE.

Results
theoretical density = 3.3 g/cm³
N(E_F) = 0.959 states/eV/atom

Unit cell a=10.6475 b=6.5677 c=8.3728 alpha=90.00 beta=90.00 gamma=90.00
Last column: nearest neighbours and their distance in Å.
Element x y z (fractional)
Cs (0.1245, 0.2500, 0.2286)  6 N 3.30-3.45
Cs (0.1246, 0.2500, 0.7704)  6 N 3.30-3.45
Cs (0.3754, 0.7500, 0.2704)  6 N 3.30-3.45
Cs (0.3755, 0.7500, 0.7286)  6 N 3.30-3.45
Cs (0.6245, 0.2500, 0.2714)  6 N 3.30-3.45
Cs (0.6246, 0.2500, 0.7296)  6 N 3.30-3.45
Cs (0.8754, 0.7500, 0.2296)  6 N 3.30-3.45
Cs (0.8755, 0.7500, 0.7714)  6 N 3.30-3.45
N (0.1378, 0.6590, 0.9993)  1 N 1.19
N (0.1378, 0.8410, 0.9993)  1 N 1.19
N (0.3622, 0.1590, 0.4993)  1 N 1.19
N (0.3622, 0.3410, 0.4993)  1 N 1.19
N (0.6378, 0.6590, 0.5007)  1 N 1.19
N (0.6378, 0.8410, 0.5007)  1 N 1.19
N (0.8622, 0.1590, 0.0007)  1 N 1.19
N (0.8622, 0.3410, 0.0007)  1 N 1.19


Entry Q
CsN after structural relaxation, computed with PBE.

Results
theoretical density = 4.3 g/cm³
N(E_F) = 1.148 states/eV/atom

Unit cell a=3.8318 b=3.8318 c=3.8318 alpha=90.00 beta=90.00 gamma=90.00
Last column: nearest neighbours and their distance in Å.
Element x y z (fractional)
Cs (0.0000, 0.0000, 0.0000)  8 N 3.32
N (0.5000, 0.5000, 0.5000)  8 Cs 3.32


Last place for stability: entry Q